Computed, not measured: crystalline Dy4TlHg at its relaxed geometry at the GGA-PBE level of DFT.

Structure (CIF):
```
data_Dy4TlHg
_space_group_name_H-M_alt 'P 1'
_space_group_IT_number 1
_cell_length_a 8.802
_cell_length_b 3.746
_cell_length_c 20.779
_cell_angle_alpha 90.00
_cell_angle_beta 90.00
_cell_angle_gamma 90.00
loop_
_space_group_symop_operation_xyz
'x,y,z'
loop_
_atom_site_label
_atom_site_type_symbol
_atom_site_fract_x
_atom_site_fract_y
_atom_site_fract_z
Dy1 Dy 0.024 0.250 0.214
Dy2 Dy 0.028 0.250 0.928
Dy3 Dy 0.123 0.250 0.439
Dy4 Dy 0.150 0.250 0.662
Dy5 Dy 0.350 0.750 0.162
Dy6 Dy 0.377 0.750 0.939
Dy7 Dy 0.472 0.750 0.428
Dy8 Dy 0.476 0.750 0.714
Dy9 Dy 0.524 0.250 0.286
Dy10 Dy 0.528 0.250 0.572
Dy11 Dy 0.623 0.250 0.061
Dy12 Dy 0.650 0.250 0.838
Dy13 Dy 0.850 0.750 0.338
Dy14 Dy 0.877 0.750 0.561
Dy15 Dy 0.972 0.750 0.072
Dy16 Dy 0.976 0.750 0.786
Tl1 Tl 0.220 0.750 0.314
Tl2 Tl 0.280 0.250 0.814
Tl3 Tl 0.720 0.750 0.186
Tl4 Tl 0.780 0.250 0.686
Hg1 Hg 0.245 0.750 0.549
Hg2 Hg 0.255 0.250 0.049
Hg3 Hg 0.745 0.750 0.951
Hg4 Hg 0.755 0.250 0.451
```

## Properties
The polymorph energy (0 for the lowest one) is 0 meV/atom. The space group is Pnma, No. 62. Its formation enthalpy at 0 K is -0.27 eV/atom.